Here is PuPa2Tc after structural relaxation from Alexandria. Energies are from PBE-GGA.

Results
As for the density of states at the Fermi level: 7.89 states/eV/f.u. The energy of formation is -51 meV/atom. The offset from the most stable computed form comes out at 0.002 eV per atom. The calculation puts the volume at 21.76 Å³ per atom. Its density is 15.3 g cm⁻³.

Cell: 3.2255 3.8476 7.0774 Å, 90.00 97.76 90.00°
Closest atoms and distances in Å follow each position.
Atoms (fractional coordinates):
Pu  0.0000  0.0000  0.0000  8 Pa 3.14-3.15, 2 Pu 3.23
Pa  0.4166  0.5000  0.7302  2 Tc 2.75
Pa  0.5834  0.5000  0.2698  2 Tc 2.75
Tc  0.0000  0.0000  0.5000  4 Pa 2.75